Material: Pa9Ru11Rh4
Method: DFT, PBE-GGA
State: optimized geometry

a = 11.523 Å, b = 11.523 Å, c = 3.595 Å
α = 90.00°, β = 90.00°, γ = 109.15°
Sites, in units of the cell vectors:
Pa 0.000 0.000 0.000
Pa 0.109 0.664 0.000
Pa 0.277 0.463 0.000
Pa 0.336 0.891 0.000
Pa 0.463 0.277 0.000
Pa 0.537 0.723 0.000
Pa 0.664 0.109 0.000
Pa 0.723 0.537 0.000
Pa 0.891 0.336 0.000
Ru 0.073 0.425 0.500
Ru 0.115 0.885 0.500
Ru 0.282 0.282 0.500
Ru 0.332 0.668 0.500
Ru 0.425 0.073 0.500
Ru 0.500 0.500 0.500
Ru 0.575 0.927 0.500
Ru 0.668 0.332 0.500
Ru 0.718 0.718 0.500
Ru 0.885 0.115 0.500
Ru 0.927 0.575 0.500
Rh 0.078 0.242 0.000
Rh 0.242 0.078 0.000
Rh 0.758 0.922 0.000
Rh 0.922 0.758 0.000

Summary:
space-group type: Cmmm, No. 65
energy of formation: -9.1 eV/f.u.
density: 13.27 Mg/m³


Material: AlCd3Ag4
Method: DFT, PBE-GGA
State: optimized geometry

a = 7.647 Å, b = 7.647 Å, c = 2.897 Å
α = 90.00°, β = 90.00°, γ = 100.31°
Sites, in units of the cell vectors:
Al 0.000 0.000 0.000
Cd 0.000 0.500 0.500
Cd 0.500 0.000 0.500
Cd 0.500 0.500 0.000
Ag 0.234 0.766 0.000
Ag 0.235 0.235 0.500
Ag 0.765 0.765 0.500
Ag 0.766 0.234 0.000

Summary:
ΔE to the lowest computed polymorph: 3.21 kcal/mol of atoms
space-group type: Cmmm, No. 65
energy of formation: 0.8 eV/f.u.
density: 7.93 Mg/m³


Material: Tb2PrAl2Ga2
Method: DFT, PBE-GGA
State: optimized geometry

a = 10.474 Å, b = 10.474 Å, c = 10.474 Å
α = 24.22°, β = 24.22°, γ = 24.22°
Sites, in units of the cell vectors:
Tb 0.129 0.129 0.129
Tb 0.871 0.871 0.871
Pr 0.000 0.000 0.000
Al 0.399 0.399 0.399
Al 0.601 0.601 0.601
Ga 0.255 0.255 0.255
Ga 0.745 0.745 0.745

Summary:
space-group type: R-3m, No. 166
energy of formation: -2.8 eV/f.u.
density: 6.37 Mg/m³


Copy entry 2 word for word.
Material: AlCd3Ag4
Method: DFT, PBE-GGA
State: optimized geometry

a = 7.647 Å, b = 7.647 Å, c = 2.897 Å
α = 90.00°, β = 90.00°, γ = 100.31°
Sites, in units of the cell vectors:
Al 0.000 0.000 0.000
Cd 0.000 0.500 0.500
Cd 0.500 0.000 0.500
Cd 0.500 0.500 0.000
Ag 0.234 0.766 0.000
Ag 0.235 0.235 0.500
Ag 0.765 0.765 0.500
Ag 0.766 0.234 0.000

Summary:
ΔE to the lowest computed polymorph: 3.21 kcal/mol of atoms
space-group type: Cmmm, No. 65
energy of formation: 0.8 eV/f.u.
density: 7.93 Mg/m³


- The lowest density belongs to which entry?
  Tb2PrAl2Ga2


- What is the density in the third record?
  6.37 Mg/m³


- Among the records above, which one has the lowest density?
  Tb2PrAl2Ga2